DFT (PBE) results for a relaxed Sm3Y2Al2 crystal.

abc: 5.3395 5.3396 8.5207
angles: 108.29 89.96 120.05
Last column: nearest neighbours and their distance in Å.
Element x y z (fractional)
1 Y 0.0827 0.1655 0.7481  4 Al 3.18-3.20, 3 Sm 3.51
2 Al 0.2172 0.4344 0.1515  4 Sm 3.06-3.31, 4 Y 3.18-3.20
3 Al 0.7828 0.5656 0.8485  4 Sm 3.06-3.31, 4 Y 3.18-3.20
4 Sm 0.5000 0.0000 0.0000  6 Al 3.31, 6 Y 3.67-3.68, 2 Sm 3.68
5 Sm 0.6539 0.3088 0.4632  1 Al 3.06, 3 Sm 3.13-3.14
6 Sm 0.3461 0.6912 0.5368  1 Al 3.06, 3 Sm 3.13-3.14
7 Y 0.9173 0.8345 0.2519  4 Al 3.18-3.20, 3 Sm 3.51

Calculated values
The value obtained for the total magnetization is 0.000 μB/cell. Its total energy is -35.93 eV per cell. The calculation puts the theoretical density at 5.785 g/cm³.